The following is a DFT calculation (PBE-GGA) of BaUSe2O8 after structural relaxation.

The structure in extended XYZ format:
```
12
Lattice="6.211 0.000 0.000 -3.106 5.379 0.000 0.000 0.000 7.339" Properties=species:S:1:pos:R:3 pbc="T T T"
Ba 0.000 0.000 0.000
U 0.000 0.000 3.669
Se 3.106 1.793 2.167
Se 0.000 3.586 5.171
O 0.000 3.586 6.821
O 1.268 1.016 2.352
O 4.697 0.590 2.352
O 3.106 1.793 0.517
O -1.592 4.789 4.987
O 1.838 4.363 4.987
O -0.246 1.606 4.987
O 3.352 3.773 2.352
```

## Properties
formation energy (no corrections): -21.6 eV/f.u.

The following is a DFT calculation (PBE-GGA) of Ba2USe4O2 after structural relaxation.

The structure in extended XYZ format:
```
9
Lattice="5.455 0.195 0.133 1.479 6.758 -0.408 1.479 2.102 6.436" Properties=species:S:1:pos:R:3 pbc="T T T"
Ba 3.002 5.890 4.008
Ba 5.411 3.166 2.154
U 2.728 0.098 0.066
Se 2.628 4.660 0.669
Se 5.785 6.723 2.072
Se 5.785 4.396 5.492
Se 2.628 2.333 4.089
O 1.644 1.322 0.899
O 6.769 7.735 5.262
```

## Properties
density of states at the Fermi level: 1.57 states/eV/cell
formation energy (no corrections): -17.4 eV/f.u.